Record 1
{"formula": "InIr2", "functional": "PBE-GGA", "state": "relaxed", "lattice_angstrom": [[6.295, 2.287, -2.972], [-6.744, 0.572, 2.807], [1.839, 0.539, 4.309]], "species": ["In", "Ir", "Ir", "Ir", "In", "Ir"], "frac_coords": [[0.214, 0.786, 0.250], [0.111, 0.889, 0.750], [0.549, 0.451, 0.250], [0.451, 0.549, 0.750], [0.786, 0.214, 0.750], [0.889, 0.111, 0.250]], "ef_ev_per_fu": 0.523, "dos_at_fermi_per_ev_cell": 2.94, "sg": "Cmcm (63)", "energy_ev_per_atom": -6.65, "magmom_total_mub_per_cell": 0.00}

---

Record 2
{"formula": "NaCrAs2Br", "functional": "PBE-GGA", "state": "relaxed", "lattice_angstrom": [[4.512, 0.000, 0.000], [0.000, 7.746, 0.000], [0.000, 0.000, 4.512]], "species": ["As", "Cr", "As", "Br", "Na"], "frac_coords": [[0.500, 0.000, 0.000], [0.000, 0.000, 0.000], [0.000, 0.000, 0.500], [0.500, 0.500, 0.500], [0.000, 0.500, 0.000]], "dos_at_fermi_per_ev_cell": 1.47, "relative_energy_mev_per_atom": 34, "sg": "P4/mmm (123)", "energy_ev_per_atom": -4.52, "magmom_total_mub_per_cell": 1.80}

---

Record 3
{"formula": "LiEu", "functional": "PBE-GGA", "state": "relaxed", "lattice_angstrom": [[-1.499, -2.836, -2.433], [3.375, 0.097, -2.192], [1.603, -2.856, 2.341]], "species": ["Eu", "Li"], "frac_coords": [[0.500, 0.500, 0.500], [0.000, 0.000, 0.000]], "ef_ev_per_fu": 0.118, "dos_at_fermi_per_ev_cell": 7.67, "relative_energy_mev_per_atom": 15, "sg": "Pm-3m (221)", "energy_ev_per_atom": -6.04, "magmom_total_mub_per_cell": 7.71}